[1]
Mg2Te2Pd after structural relaxation. Source: Alexandria, functional PBE-GGA.

Structure (POSCAR):
```
Mg2Te2Pd
1.0
7.7353 0.0000 0.0000
0.0000 7.7353 0.0000
0.0000 0.0000 4.0231
Mg Te Pd
4 4 2
Direct
0.1412 0.3588 0.0000
0.3588 0.8588 0.0000
0.6412 0.1412 0.0000
0.8588 0.6412 0.0000
0.1746 0.6746 0.5000
0.3254 0.1746 0.5000
0.6746 0.8254 0.5000
0.8254 0.3254 0.5000
0.0000 0.0000 0.5000
0.5000 0.5000 0.5000
```

V: 120.4 Å³/f.u.
total energy: -3.32 eV/atom

---

[2]
Er3TlSe after structural relaxation. Source: Alexandria, functional PBE-GGA.

Structure (POSCAR):
```
Er3TlSe
1.0
9.1436 0.0000 0.0000
0.0000 6.5802 0.0000
-4.0757 0.0000 9.3593
Er Tl Se
12 4 4
Direct
0.0613 0.0905 0.3332
0.0613 0.4095 0.8332
0.2116 0.5817 0.5374
0.2116 0.9183 0.0374
0.3888 0.1380 0.8071
0.3888 0.3620 0.3071
0.6112 0.6380 0.6929
0.6112 0.8620 0.1929
0.7884 0.0817 0.9626
0.7884 0.4183 0.4626
0.9387 0.5905 0.1668
0.9387 0.9095 0.6668
0.3804 0.6655 0.8727
0.3804 0.8345 0.3727
0.6196 0.1655 0.6273
0.6196 0.3345 0.1273
0.0868 0.2315 0.5961
0.0868 0.2685 0.0961
0.9132 0.7315 0.9039
0.9132 0.7685 0.4039
```

V: 140.8 Å³/f.u.
total energy: -4.60 eV/atom
E above lowest polymorph: 0.135 eV per atom